VASP calculation (GGA-PBE) on a geometry-optimized La6SiIr2I3 structure.

Values from the calculation:
Raw total energy in eV/atom: -5.806

POSCAR file:
```
La6SiIr2I3
1.0
7.5045 0.0053 -0.0010
-3.7459 6.5028 -0.0010
-1.2548 -2.1727 8.1223
La Si Ir I
6 1 2 3
Direct
0.9377 0.5912 0.8098
0.7166 0.7166 0.1892
0.0623 0.4088 0.1902
0.5912 0.9377 0.8098
0.2834 0.2834 0.8108
0.4088 0.0623 0.1902
0.0000 0.0000 0.0000
0.3329 0.6671 0.0000
0.6671 0.3329 0.0000
0.1626 0.8374 0.5000
0.8374 0.1626 0.5000
0.5000 0.5000 0.5000
```

***

VASP calculation (GGA-PBE) on a geometry-optimized LaSmIrI structure.

Values from the calculation:
Raw total energy in eV/atom: -6.036

POSCAR file:
```
LaSmIrI
1.0
4.2083 -0.0006 -0.0003
-2.1037 3.6449 -0.0001
-2.1039 -1.2145 8.2056
La Sm Ir I
1 1 1 1
Direct
0.5163 0.1560 0.6878
0.0929 0.9443 0.0527
0.3059 0.5508 0.8722
0.9627 0.3796 0.3570
```

***

VASP calculation (GGA-PBE) on a geometry-optimized La2SmIr2I2 structure.

Values from the calculation:
Raw total energy in eV/atom: -5.759

POSCAR file:
```
La2SmIr2I2
1.0
5.2771 0.0000 0.0000
0.0000 5.2771 0.0000
-2.6386 -2.6386 8.3738
La Sm Ir I
2 1 2 2
Direct
0.3972 0.3972 0.7943
0.6028 0.6028 0.2057
0.0000 0.0000 0.0000
0.0000 0.5000 0.0000
0.5000 0.0000 0.0000
0.1936 0.1936 0.3871
0.8064 0.8064 0.6129
```

***

VASP calculation (GGA-PBE) on a geometry-optimized La6SnIr2I3 structure.

Values from the calculation:
Raw total energy in eV/atom: -5.679

POSCAR file:
```
La6SnIr2I3
1.0
-3.6611 1.5407 6.5042
6.5920 -3.8209 0.1692
3.0747 7.7975 -1.6229
La Sn Ir I
6 1 2 3
Direct
0.9347 0.5711 0.8047
0.7014 0.7014 0.1933
0.0653 0.4289 0.1953
0.5711 0.9347 0.8047
0.2986 0.2986 0.8067
0.4289 0.0653 0.1953
0.0000 0.0000 0.0000
0.3327 0.6673 0.0000
0.6673 0.3327 0.0000
0.1589 0.8411 0.5000
0.8411 0.1589 0.5000
0.5000 0.5000 0.5000
```

***

VASP calculation (GGA-PBE) on a geometry-optimized La2TbIr2I2 structure.

Values from the calculation:
Raw total energy in eV/atom: -5.793

POSCAR file:
```
La2TbIr2I2
1.0
5.2118 0.0000 0.0000
0.0000 5.2118 0.0000
-2.6059 -2.6059 8.3863
La Tb Ir I
2 1 2 2
Direct
0.3968 0.3968 0.7936
0.6032 0.6032 0.2064
0.0000 0.0000 0.0000
0.0000 0.5000 0.0000
0.5000 0.0000 0.0000
0.1915 0.1915 0.3831
0.8085 0.8085 0.6169
```

***

VASP calculation (GGA-PBE) on a geometry-optimized La8TeIr3I4 structure.

Values from the calculation:
Raw total energy in eV/atom: -5.819

POSCAR file:
```
La8TeIr3I4
1.0
8.7868 0.0000 0.0000
0.0000 9.5496 0.5373
-4.3934 -4.3923 6.2142
La Te Ir I
8 1 3 4
Direct
0.2451 0.6917 0.9466
0.2451 0.6917 0.4902
0.2711 0.3132 0.5421
0.7015 0.6917 0.9466
0.2985 0.3083 0.0534
0.7289 0.6868 0.4579
0.7549 0.3083 0.5098
0.7549 0.3083 0.0534
0.0000 0.5000 0.0000
0.5000 0.5000 0.0000
0.5000 0.5000 0.5000
0.0000 0.5000 0.5000
0.5000 0.0000 0.0000
0.5000 0.0000 0.5000
0.0000 0.0000 0.0000
0.0000 0.0000 0.5000
```

***

Number 1: total magnetization 0.00 μB/cell, D(E_F) 10.46 states/eV/cell. Number 2: total magnetization 0.00 μB/cell, D(E_F) 1.21 states/eV/cell. Number 3: total magnetization 0.00 μB/cell, D(E_F) 3.91 states/eV/cell. Number 4: total magnetization 0.00 μB/cell, D(E_F) 11.05 states/eV/cell. Number 5: total magnetization 0.00 μB/cell, D(E_F) 3.69 states/eV/cell. Number 6: total magnetization 0.00 μB/cell, D(E_F) 9.90 states/eV/cell.